(1)
Computed, not measured: crystalline Ce5Bi5Te at its relaxed geometry at the PBE level of DFT.

The space group is C2/m (No. 12) and the conventional cell measures 14.335, 6.410 and 9.091 Å, with angles of 90.00, 108.46 and 90.00 degrees. The inequivalent atoms are Ce at (0.000, 0.000, 0.000), Ce at (0.166, 0.500, 0.335), Ce at (0.166, 0.500, 0.831), Bi at (0.000, 0.500, 0.500), Bi at (0.162, 0.000, 0.337), Bi at (0.164, 0.000, 0.827) and Te at (0.000, 0.500, 0.000).

The formation energy (no corrections) comes out at -0.71 eV/atom. Its total energy is -5.455 eV per atom.



(2)
Computed, not measured: crystalline Zr2TcBi at its relaxed geometry at the PBE level of DFT.

The space group is P4/mmm (No. 123) and the conventional cell measures 3.303, 3.303 and 8.134 Å, with angles of 90.00, 90.00 and 90.00 degrees. The inequivalent atoms are Zr at (0.000, 0.000, 0.195), Tc at (0.500, 0.500, 0.000) and Bi at (0.500, 0.500, 0.500).

Its total energy is -8.103 eV per atom. The formation energy is -0.27 eV/atom.



(3)
Computed, not measured: crystalline LiTiO2 at its relaxed geometry at the PBE level of DFT.

The space group is Fd-3m (No. 227, origin choice 2) and the conventional cell measures 8.389, 8.389 and 8.389 Å, with angles of 90.00, 90.00 and 90.00 degrees. The inequivalent atoms are Li at (0.000, 0.000, 0.000), Ti at (0.000, 0.000, 0.500) and O at (0.004, 0.004, 0.746).

The formation energy (no corrections) comes out at -2.60 eV/atom. Its total energy is -7.532 eV per atom.



(4)
Computed, not measured: crystalline Tb4TmCo4 at its relaxed geometry at the PBE level of DFT.

The space group is P4_2/n (No. 86, origin choice 2) and the conventional cell measures 8.378, 8.378 and 5.598 Å, with angles of 90.00, 90.00 and 90.00 degrees. The inequivalent atoms are Tb at (0.058, 0.676, 0.130), Tm at (0.250, 0.250, 0.250) and Co at (0.010, 0.613, 0.612).

Its total energy is -5.776 eV per atom. The formation energy is -0.06 eV/atom.



(5)
Computed, not measured: crystalline HgPPb2 at its relaxed geometry at the PBE level of DFT.

The space group is F-43m (No. 216) and the conventional cell measures 7.482, 7.482 and 7.482 Å, with angles of 90.00, 90.00 and 90.00 degrees. The inequivalent atoms are Hg at (0.000, 0.000, 0.000), P at (0.250, 0.250, 0.750), Pb at (0.000, 0.000, 0.500) and Pb at (0.250, 0.250, 0.250).

For the distance to the lowest polymorph of the same formula, the calculation gives 329.5 meV per atom. Its total energy is -2.911 eV per atom. The formation energy is 0.37 eV/atom.



(6)
Computed, not measured: crystalline TbNd2Pa at its relaxed geometry at the PBE level of DFT.

The space group is P4/mmm (No. 123) and the conventional cell measures 3.450, 3.450 and 10.510 Å, with angles of 90.00, 90.00 and 90.00 degrees. The inequivalent atoms are Tb at (0.000, 0.000, 0.000), Nd at (0.500, 0.500, 0.268) and Pa at (0.000, 0.000, 0.500).

For the distance to the lowest polymorph of the same formula, the calculation gives 0.0 meV per atom. Its total energy is -5.746 eV per atom. The formation energy is 0.17 eV/atom.



(7)
Computed, not measured: crystalline AcMgZnCu at its relaxed geometry at the PBE level of DFT.

The space group is F-43m (No. 216) and the conventional cell measures 7.209, 7.209 and 7.209 Å, with angles of 90.00, 90.00 and 90.00 degrees. The inequivalent atoms are Ac at (0.000, 0.000, 0.000), Mg at (0.000, 0.000, 0.500), Zn at (0.250, 0.250, 0.750) and Cu at (0.250, 0.250, 0.250).

For the distance to the lowest polymorph of the same formula, the calculation gives 35.3 meV per atom. Its total energy is -2.910 eV per atom. The formation energy is -0.14 eV/atom.



(8)
Computed, not measured: crystalline Na7Hg3Pb at its relaxed geometry at the PBE level of DFT.

The space group is Cmcm (No. 63) and the conventional cell measures 3.966, 25.209 and 12.910 Å, with angles of 90.00, 90.00 and 90.00 degrees. The inequivalent atoms are Na at (0.000, 0.017, 0.118), Na at (0.000, 0.107, 0.750), Na at (0.000, 0.155, 0.089), Na at (0.000, 0.293, 0.112), Hg at (0.000, 0.278, 0.750), Hg at (0.000, 0.420, 0.050) and Pb at (0.000, 0.404, 0.750).

Its total energy is -1.408 eV per atom. The formation energy is -0.15 eV/atom.



(9)
Computed, not measured: crystalline ErScF at its relaxed geometry at the PBE level of DFT.

The space group is P4/nmm (No. 129, origin choice 2) and the conventional cell measures 3.462, 3.462 and 10.498 Å, with angles of 90.00, 90.00 and 90.00 degrees. The inequivalent atoms are Er at (0.250, 0.250, 0.124), Sc at (0.250, 0.250, 0.638) and F at (0.250, 0.750, 0.500).

The formation energy (no corrections) comes out at -1.61 eV/atom. Its total energy is -5.864 eV per atom.



(10)
Computed, not measured: crystalline TmPu2Re9 at its relaxed geometry at the PBE level of DFT.

The space group is R-3m (No. 166, hexagonal axes) and the conventional cell measures 5.3763, 5.3763 and 28.6262 Å, with angles of 90.00, 90.00 and 120.00 degrees. The inequivalent atoms are Tm at (0.0000, 0.0000, 0.0000), Pu at (0.0000, 0.0000, 0.3560), Re at (0.0000, 0.0000, 0.2695), Re at (0.0000, 0.0000, 0.5000) and Re at (0.0102, 0.5051, 0.7636).

Its total energy is -11.376 eV per atom. The formation energy is 0.72 eV/atom.



(11)
Computed, not measured: crystalline MnSe3 at its relaxed geometry at the PBE level of DFT.

The space group is P2/m (No. 10) and the conventional cell measures 5.003, 3.535 and 5.041 Å, with angles of 90.00, 107.51 and 90.00 degrees. The inequivalent atoms are Mn at (0.000, 0.000, 0.000), Se at (0.165, 0.500, 0.362) and Se at (0.500, 0.000, 0.000).

The formation energy (no corrections) comes out at -0.17 eV/atom. Its total energy is -5.072 eV per atom.



(12)
Computed, not measured: crystalline Dy2AgRu at its relaxed geometry at the PBE level of DFT.

The space group is P4/mmm (No. 123) and the conventional cell measures 3.419, 3.419 and 7.512 Å, with angles of 90.00, 90.00 and 90.00 degrees. The inequivalent atoms are Dy at (0.000, 0.000, 0.222), Ag at (0.500, 0.500, 0.500) and Ru at (0.500, 0.500, 0.000).

Its total energy is -5.744 eV per atom. The formation energy is -0.41 eV/atom.



(13)
Computed, not measured: crystalline AcNdEr6 at its relaxed geometry at the PBE level of DFT.

The space group is C2/m (No. 12) and the conventional cell measures 9.765, 6.932 and 8.847 Å, with angles of 90.00, 102.69 and 90.00 degrees. The inequivalent atoms are Ac at (0.000, 0.000, 0.000), Nd at (0.000, 0.500, 0.500), Er at (0.123, 0.500, 0.920) and Er at (0.217, 0.261, 0.298).

Its total energy is -4.127 eV per atom. The formation energy is 0.41 eV/atom.



(14)
Computed, not measured: crystalline LaVN3 at its relaxed geometry at the PBE level of DFT.

The space group is C2 (No. 5) and the conventional cell measures 12.498, 5.640 and 3.619 Å, with angles of 90.00, 97.22 and 90.00 degrees. The inequivalent atoms are La at (0.136, 0.000, 0.099), V at (0.104, 0.486, 0.570), N at (0.000, 0.242, 0.500), N at (0.000, 0.734, 0.500), N at (0.164, 0.469, 0.094) and N at (0.239, 0.360, 0.367).

The formation energy (no corrections) comes out at -0.87 eV/atom. Its total energy is -8.674 eV per atom.



(15)
Computed, not measured: crystalline K4RbCl5 at its relaxed geometry at the PBE level of DFT.

The space group is I4/mmm (No. 139) and the conventional cell measures 4.559, 4.559 and 32.175 Å, with angles of 90.00, 90.00 and 90.00 degrees. The inequivalent atoms are K at (0.000, 0.000, 0.102), K at (0.000, 0.000, 0.299), Rb at (0.000, 0.000, 0.500), Cl at (0.000, 0.000, 0.000), Cl at (0.000, 0.000, 0.201) and Cl at (0.000, 0.000, 0.397).

The formation energy (no corrections) comes out at -1.95 eV/atom. Its total energy is -3.410 eV per atom.



(16)
Computed, not measured: crystalline Eu3Ag2 at its relaxed geometry at the PBE level of DFT.

The space group is P4/mbm (No. 127) and the conventional cell measures 8.374, 8.374 and 4.456 Å, with angles of 90.00, 90.00 and 90.00 degrees. The inequivalent atoms are Eu at (0.000, 0.000, 0.000), Eu at (0.166, 0.334, 0.500) and Ag at (0.125, 0.625, 0.000).

Its total energy is -7.560 eV per atom. The formation energy is -0.25 eV/atom.



(17)
Computed, not measured: crystalline Tm4IrBr5 at its relaxed geometry at the PBE level of DFT.

The space group is C2/m (No. 12) and the conventional cell measures 18.961, 3.938 and 8.450 Å, with angles of 90.00, 101.38 and 90.00 degrees. The inequivalent atoms are Tm at (0.005, 0.000, 0.214), Tm at (0.146, 0.500, 0.070), Ir at (0.000, 0.500, 0.000), Br at (0.000, 0.500, 0.500), Br at (0.169, 0.000, 0.323) and Br at (0.183, 0.000, 0.846).

The formation energy (no corrections) comes out at -1.45 eV/atom. Its total energy is -4.957 eV per atom.



(18)
Computed, not measured: crystalline CoHgP2 at its relaxed geometry at the PBE level of DFT.

The space group is Pmmm (No. 47) and the conventional cell measures 3.605, 3.773 and 4.719 Å, with angles of 90.00, 90.00 and 90.00 degrees. The inequivalent atoms are Co at (0.000, 0.000, 0.000), Hg at (0.500, 0.500, 0.000), P at (0.000, 0.500, 0.500) and P at (0.500, 0.000, 0.500).

Its total energy is -3.835 eV per atom. The formation energy is 0.72 eV/atom.



(19)
Computed, not measured: crystalline La5Nd6Tl at its relaxed geometry at the PBE level of DFT.

The space group is Immm (No. 71) and the conventional cell measures 5.159, 10.352 and 15.565 Å, with angles of 90.00, 90.00 and 90.00 degrees. The inequivalent atoms are La at (0.000, 0.000, 0.000), La at (0.000, 0.000, 0.333), La at (0.000, 0.500, 0.336), Nd at (0.000, 0.247, 0.500), Nd at (0.000, 0.256, 0.162) and Tl at (0.000, 0.500, 0.000).

Its total energy is -4.675 eV per atom. The formation energy is -0.04 eV/atom.



| no. | total moment (μB per formula unit) | calculated density (g cm⁻³) |
| --- | --- | --- |
| 1 | 3.18 | 7.8 |
| 2 | 0.00 | 9.2 |
| 3 | 0.01 | 3.9 |
| 4 | 0.00 | 8.8 |
| 5 | 0.00 | 10.2 |
| 6 | 0.00 | 9.0 |
| 7 | 0.00 | 6.7 |
| 8 | 0.00 | 5.0 |
| 9 | 0.00 | 6.1 |
| 10 | 6.85 | 16.2 |
| 11 | 2.94 | 5.7 |
| 12 | 0.00 | 10.1 |
| 13 | 0.00 | 7.8 |
| 14 | 0.14 | 6.1 |
| 15 | 0.00 | 2.1 |
| 16 | 6.98 | 7.1 |
| 17 | 0.00 | 6.8 |
| 18 | 0.86 | 8.3 |
| 19 | 0.00 | 7.0 |